Density functional theory data (GGA+U) for RbBeV2O6 after structural relaxation.

The value obtained for the total energy is -6.9985 eV per atom.

It has space group C2/c (No. 15), with a = 9.935 Å, b = 11.761 Å, c = 5.945 Å, α = 90.00°, β = 112.88° and γ = 90.00°. The inequivalent atoms are Rb at (0.000, 0.152, 0.250), Be at (0.000, 0.270, 0.750), V at (0.226, 0.412, 0.126), O at (0.055, 0.350, 0.996), O at (0.136, 0.188, 0.762) and O at (0.243, 0.002, 0.106).